# 1
Density functional theory data (PBE) for a relaxed CoIrAu2 crystal.

Summary:
Theoretical density in Mg/m³: 17.09
Calculated formation energy in eV/atom: 0.4363

```
data_CoIrAu2
_symmetry_space_group_name_H-M 'I m m m'
_symmetry_Int_Tables_number 71
_symmetry_space_group_name_Hall '-I 2 2'
_cell_length_a 2.8399
_cell_length_b 4.6565
_cell_length_c 9.4769
_cell_angle_alpha 90.00
_cell_angle_beta 90.00
_cell_angle_gamma 90.00
loop_
_atom_site_label
_atom_site_fract_x
_atom_site_fract_y
_atom_site_fract_z
Co1 0.0000 0.0000 0.0000
Ir1 0.0000 0.0000 0.5000
Au1 0.0000 0.5000 0.2625
```

# 2
Density functional theory data (PBE) for a relaxed CoIrAu2 crystal.

Summary:
Theoretical density in Mg/m³: 17.20
Calculated formation energy in eV/atom: 0.3813

```
data_CoIrAu2
_symmetry_space_group_name_H-M 'C 1 2/m 1'
_symmetry_Int_Tables_number 12
_cell_length_a 9.3228
_cell_length_b 2.8223
_cell_length_c 4.8204
_cell_angle_alpha 90.00
_cell_angle_beta 100.81
_cell_angle_gamma 90.00
loop_
_symmetry_equiv_pos_as_xyz
'x,y,z'
'-x,-y,-z'
'-x,y,-z'
'x,-y,z'
'x+1/2,y+1/2,z'
'-x+1/2,-y+1/2,-z'
'-x+1/2,y+1/2,-z'
'x+1/2,-y+1/2,z'
loop_
_atom_site_label
_atom_site_fract_x
_atom_site_fract_y
_atom_site_fract_z
Co1 0.0000 0.0000 0.0000
Ir1 0.0000 0.5000 0.5000
Au1 0.2469 0.5000 0.2458
```

# 3
Density functional theory data (PBE) for a relaxed Co2IrAu crystal.

Summary:
Theoretical density in Mg/m³: 15.29
Calculated formation energy in eV/atom: 0.2203

```
data_Co2IrAu
_symmetry_space_group_name_H-M 'C 1 m 1'
_symmetry_Int_Tables_number 8
_cell_length_a 8.9829
_cell_length_b 2.7306
_cell_length_c 4.5979
_cell_angle_alpha 90.00
_cell_angle_beta 102.50
_cell_angle_gamma 90.00
loop_
_symmetry_equiv_pos_as_xyz
'x,y,z'
'x,-y,z'
'x+1/2,y+1/2,z'
'x+1/2,-y+1/2,z'
loop_
_atom_site_label
_atom_site_fract_x
_atom_site_fract_y
_atom_site_fract_z
Co1 0.0000 0.0000 0.0000
Co2 0.2320 0.5000 0.2537
Ir1 0.4782 0.0000 0.4592
Au1 0.2422 0.0000 0.7630
```

Number 1: E above lowest polymorph 267 meV per atom, total magnetic moment 0.6136 μB per atom, E_tot -5.194 eV per atom. Number 2: E above lowest polymorph 212 meV per atom, total magnetic moment 0.6271 μB per atom, E_tot -5.249 eV per atom. Number 3: E above lowest polymorph 53 meV per atom, total magnetic moment 1.0485 μB per atom, E_tot -6.367 eV per atom.